# 1
! Cr4B2N | Alexandria | GGA-PBE | optimized geometry; values from VASP
&SYSTEM
  ibrav = 0, nat = 7, ntyp = 3
/
ATOMIC_SPECIES
Cr 52.00 Cr.upf
B 10.81 B.upf
N 14.01 N.upf
ATOMIC_POSITIONS crystal
Cr 0.000 0.500 0.500
Cr 0.180 0.180 0.000
Cr 0.500 0.000 0.500
Cr 0.820 0.820 0.000
B 0.367 0.367 0.000
B 0.633 0.633 0.000
N 0.000 0.000 0.000
CELL_PARAMETERS angstrom
-1.795 1.795 5.619
1.795 -1.795 5.619
1.795 1.795 -5.619
! Size of the total moment (Bohr magnetons per cell): 3.3
! Formation energy (no corrections) (eV/atom): 0.114

# 2
! CrB3N | Alexandria | GGA-PBE | optimized geometry; values from VASP
&SYSTEM
  ibrav = 0, nat = 5, ntyp = 3
/
ATOMIC_SPECIES
Cr 52.00 Cr.upf
B 10.81 B.upf
N 14.01 N.upf
ATOMIC_POSITIONS crystal
Cr 0.000 0.000 0.000
B 0.000 0.500 0.500
B 0.500 0.000 0.500
B 0.500 0.500 0.000
N 0.500 0.500 0.500
CELL_PARAMETERS angstrom
3.356 0.000 0.000
0.000 3.356 0.000
0.000 0.000 3.356
! Size of the total moment (Bohr magnetons per cell): 0.0
! Formation energy (no corrections) (eV/atom): 1.480
! Energy relative to the lowest polymorph listed for this composition (meV/atom): 0

# 3
! CrB3N | Alexandria | GGA-PBE | optimized geometry; values from VASP
&SYSTEM
  ibrav = 0, nat = 5, ntyp = 3
/
ATOMIC_SPECIES
Cr 52.00 Cr.upf
B 10.81 B.upf
N 14.01 N.upf
ATOMIC_POSITIONS crystal
Cr 0.000 0.000 0.000
B 0.000 0.000 0.500
B 0.000 0.500 0.000
B 0.500 0.000 0.000
N 0.500 0.500 0.500
CELL_PARAMETERS angstrom
3.934 0.000 0.000
0.000 3.934 0.000
0.000 0.000 3.934
! Size of the total moment (Bohr magnetons per cell): 2.8
! Formation energy (no corrections) (eV/atom): 2.406
! Energy relative to the lowest polymorph listed for this composition (meV/atom): 926

# 4
! CrB3N3 | Alexandria | GGA-PBE | optimized geometry; values from VASP
&SYSTEM
  ibrav = 0, nat = 14, ntyp = 3
/
ATOMIC_SPECIES
Cr 52.00 Cr.upf
B 10.81 B.upf
N 14.01 N.upf
ATOMIC_POSITIONS crystal
Cr 0.000 0.000 0.000
Cr 0.500 0.500 0.500
B 0.000 0.250 0.500
B 0.000 0.750 0.500
B 0.250 0.500 0.000
B 0.500 0.000 0.250
B 0.500 0.000 0.750
B 0.750 0.500 0.000
N 0.000 0.500 0.250
N 0.000 0.500 0.750
N 0.250 0.000 0.500
N 0.500 0.250 0.000
N 0.500 0.750 0.000
N 0.750 0.000 0.500
CELL_PARAMETERS angstrom
4.663 0.000 0.000
0.000 4.663 0.000
0.000 0.000 4.663
! Size of the total moment (Bohr magnetons per cell): 9.6
! Formation energy (no corrections) (eV/atom): 0.248